# CrGeO3F

CrGeO3F after structural relaxation (PBE with a Hubbard U, Alexandria via LeMat-Bulk).

Geometry as POSCAR:
```
CrGeO3F
1.0
3.040 0.000 0.000
-1.520 6.299 0.000
0.000 0.000 8.223
O F Cr Ge
6 2 2 2
Direct
0.015 0.031 0.250
0.604 0.208 0.031
0.985 0.969 0.750
0.396 0.792 0.531
0.396 0.792 0.969
0.604 0.208 0.469
0.220 0.439 0.250
0.780 0.561 0.750
0.000 0.000 0.500
0.000 0.000 0.000
0.382 0.764 0.750
0.618 0.236 0.250
```

DFT total energy: -79.68 eV/cell